Entry 1:
# Tb6Pm10Sm | Alexandria | GGA-PBE | relaxed
data_Tb6Pm10Sm
_chemical_formula_sum 'Tb6 Pm10 Sm1'
_cell_length_a 9.8308
_cell_length_b 9.8308
_cell_length_c 6.9101
_cell_angle_alpha 90.00
_cell_angle_beta 90.00
_cell_angle_gamma 120.00
_space_group_name_H-M_alt 'P -3 1 m'
_space_group_IT_number 162
_space_group_name_Hall '-P 3 2'
loop_
_atom_site_label
_atom_site_type_symbol
_atom_site_fract_x
_atom_site_fract_y
_atom_site_fract_z
_atom_site_occupancy
Tb1 Tb 0.0000 0.3740 0.1956 1
Pm1 Pm 0.0000 0.2744 0.6847 1
Pm2 Pm 0.3333 0.6667 0.0000 1
Pm3 Pm 0.3333 0.6667 0.5000 1
Sm1 Sm 0.0000 0.0000 0.0000 1
# Electronic total energy   -4.5797 eV per atom
# DOS(E_F)   24.64 states/eV per cell

***

Entry 2:
# LaAl2Cd | Alexandria | GGA-PBE | relaxed
data_LaAl2Cd
_chemical_formula_sum 'La1 Al2 Cd1'
_cell_length_a 5.6952
_cell_length_b 3.1352
_cell_length_c 5.8630
_cell_angle_alpha 90.00
_cell_angle_beta 113.39
_cell_angle_gamma 90.00
_space_group_name_H-M_alt 'P 1 2/m 1'
_space_group_IT_number 10
loop_
_space_group_symop_operation_xyz
'x,y,z'
'-x,-y,-z'
'-x,y,-z'
'x,-y,z'
loop_
_atom_site_label
_atom_site_type_symbol
_atom_site_fract_x
_atom_site_fract_y
_atom_site_fract_z
_atom_site_occupancy
La1 La 0.0000 0.0000 0.0000 1
Al1 Al 0.5000 0.0000 0.5000 1
Al2 Al 0.5000 0.5000 0.0000 1
Cd1 Cd 0.0000 0.5000 0.5000 1
# Electronic total energy   -3.3460 eV per atom
# DOS(E_F)   2.82 states/eV per cell